[1]
8
Lattice="-3.375 3.375 2.540 3.375 -3.375 2.540 3.375 3.375 -2.540" Properties=species:S:1:pos:R:3 comment="V2PPd, relaxed, DFT PBE" total_energy_ev_per_atom=-7.342 vol_a3_per_cell=116 delta_e_f_ev_per_atom=-0.13 magmom_total_mub_per_fu=0.00 crystal_system=tetragonal rho_g_cm3=6.87 pbc="T T T"
V 5.063 1.468 -0.635
V 1.468 1.688 0.635
V -1.688 1.907 1.905
V 1.907 1.688 3.175
P 0.000 0.000 0.000
P 0.000 3.375 1.270
Pd 3.375 0.000 1.270
Pd 0.000 0.000 2.540

=====

[2]
10
Lattice="6.082 0.000 0.000 0.000 6.082 0.000 0.000 0.000 4.133" Properties=species:S:1:pos:R:3 comment="VP2Pd2, relaxed, DFT PBE" total_energy_ev_per_atom=-6.397 vol_a3_per_cell=153 delta_e_f_ev_per_atom=-0.33 magmom_total_mub_per_fu=1.51 crystal_system=tetragonal rho_g_cm3=7.07 pbc="T T T"
V 0.000 0.000 0.000
V 3.041 3.041 0.000
P 0.769 2.272 0.000
P 2.272 5.314 0.000
P 3.810 0.769 0.000
P 5.314 3.810 0.000
Pd 1.498 4.539 2.067
Pd 1.543 1.498 2.067
Pd 4.539 4.585 2.067
Pd 4.585 1.543 2.067

=====

[3]
10
Lattice="6.600 0.000 0.000 0.000 6.600 0.000 0.000 0.000 3.072" Properties=species:S:1:pos:R:3 comment="V2P2Pd, relaxed, DFT PBE" total_energy_ev_per_atom=-7.428 vol_a3_per_cell=134 delta_e_f_ev_per_atom=-0.58 magmom_total_mub_per_fu=0.00 crystal_system=tetragonal rho_g_cm3=6.71 pbc="T T T"
V 0.936 2.364 0.000
V 2.364 5.664 0.000
V 4.236 0.936 0.000
V 5.664 4.236 0.000
P 0.973 4.273 1.536
P 2.327 0.973 1.536
P 4.273 5.627 1.536
P 5.627 2.327 1.536
Pd 0.000 0.000 1.536
Pd 3.300 3.300 1.536

=====

[4]
5
Lattice="4.457 0.000 0.000 0.000 4.457 0.000 0.000 0.000 4.457" Properties=species:S:1:pos:R:3 comment="PPd3W, relaxed, DFT PBE" de_polymorph_ev_per_atom=0.000 total_energy_ev_per_atom=-6.161 vol_a3_per_cell=89 delta_e_f_ev_per_atom=0.63 magmom_total_mub_per_fu=3.14 crystal_system=cubic rho_g_cm3=10.01 pbc="T T T"
P 0.000 0.000 0.000
Pd 0.000 0.000 2.229
Pd 0.000 2.229 0.000
Pd 2.229 0.000 0.000
W 2.229 2.229 2.229

=====

[5]
5
Lattice="4.728 0.000 0.000 0.000 4.728 0.000 0.000 0.000 4.728" Properties=species:S:1:pos:R:3 comment="PPdW3, relaxed, DFT PBE" de_polymorph_ev_per_atom=1.576 total_energy_ev_per_atom=-7.383 vol_a3_per_cell=106 delta_e_f_ev_per_atom=2.51 magmom_total_mub_per_fu=0.00 crystal_system=cubic rho_g_cm3=10.82 pbc="T T T"
P 0.000 0.000 0.000
Pd 2.364 2.364 2.364
W 0.000 2.364 2.364
W 2.364 0.000 2.364
W 2.364 2.364 0.000

=====

[6]
5
Lattice="4.529 0.000 0.000 0.000 4.529 0.000 0.000 0.000 4.529" Properties=species:S:1:pos:R:3 comment="P3PdW, relaxed, DFT PBE" de_polymorph_ev_per_atom=0.780 total_energy_ev_per_atom=-5.444 vol_a3_per_cell=93 delta_e_f_ev_per_atom=1.43 magmom_total_mub_per_fu=0.00 crystal_system=cubic rho_g_cm3=6.85 pbc="T T T"
P 0.000 0.000 2.264
P 0.000 2.264 0.000
P 2.264 0.000 0.000
Pd 0.000 0.000 0.000
W 2.264 2.264 2.264